A plane-wave DFT calculation with GGA-PBE was carried out for crystalline Zr2ReAu at its relaxed geometry.

Summary:
Its symmetry is P4mm, No. 99. As for the energy above the most stable polymorph in this dataset: 386 meV/atom.

Geometry as CIF:
```
data_Zr2ReAu
_cell_length_a 3.521
_cell_length_b 3.523
_cell_length_c 6.184
_cell_angle_alpha 90.00
_cell_angle_beta 90.00
_cell_angle_gamma 90.00
_space_group_name_H-M_alt 'P 1'
_space_group_IT_number 1
loop_
_space_group_symop_operation_xyz
'x,y,z'
loop_
_atom_site_label
_atom_site_fract_x
_atom_site_fract_y
_atom_site_fract_z
Au1 0.000 0.000 0.497
Re1 0.500 0.500 0.763
Zr1 0.000 0.000 0.972
Zr2 0.500 0.500 0.269
```